[1]
Density functional theory data (GGA-PBE) for a geometry-optimized NpSiF structure.

Summary:
E_form (uncorrected): -22.85 kcal/mol of atoms
spin magnetization: 0.000 μB per formula unit
symmetry: C2/m
uncorrected energy: -46.4 eV for the cell shown

Cell: 3.273 3.690 12.389 Å, 82.51 82.41 63.67°
Element x y z (fractional)
Si1 0.860 0.319 0.961
Np1 0.226 0.979 0.570
F1 0.320 0.061 0.298
F2 0.680 0.939 0.702
Np2 0.774 0.021 0.430
Si2 0.140 0.681 0.039

[2]
Density functional theory data (GGA-PBE) for a geometry-optimized SmNp2F8 structure.

Summary:
E_form (uncorrected): -78.45 kcal/mol of atoms
spin magnetization: 9.001 μB per formula unit
symmetry: Immm
uncorrected energy: -83.0 eV for the cell shown

Cell: 3.882 6.754 6.819 Å, 119.69 106.54 90.00°
Site moments in Bohr magnetons follow the coordinates.
Element x y z (fractional)
F1 0.658 0.426 0.316  -0.01
F2 0.342 0.111 0.684  -0.01
F3 0.864 0.864 0.729  0.00
Sm1 0.500 0.000 0.000  0.14
Np1 0.819 0.319 0.639  4.30
F4 0.000 0.693 0.000  -0.01
Np2 0.181 0.681 0.361  4.30
F5 0.342 0.574 0.684  -0.01
F6 0.136 0.136 0.271  0.00
F7 0.000 0.307 0.000  -0.01
F8 0.658 0.889 0.316  -0.01

[3]
Density functional theory data (GGA-PBE) for a geometry-optimized SmNpF6 structure.

Summary:
E_form (uncorrected): -86.03 kcal/mol of atoms
spin magnetization: 4.000 μB per formula unit
symmetry: P4_2/m
uncorrected energy: -117.5 eV for the cell shown

Cell: 5.501 5.501 8.192 Å, 90.00 90.00 90.00°
Site moments in Bohr magnetons follow the coordinates.
Element x y z (fractional)
F1 0.699 0.660 0.000  -0.01
F2 0.741 0.184 0.180  -0.01
F3 0.184 0.259 0.680  -0.01
F4 0.301 0.340 0.000  -0.01
Np1 0.000 0.000 0.500  3.97
F5 0.660 0.301 0.500  -0.01
F6 0.741 0.184 0.820  -0.01
F7 0.816 0.741 0.680  -0.01
F8 0.816 0.741 0.320  -0.01
Sm1 0.500 0.500 0.750  0.01
F9 0.259 0.816 0.180  -0.01
Np2 0.000 0.000 0.000  3.97
F10 0.259 0.816 0.820  -0.01
Sm2 0.500 0.500 0.250  0.01
F11 0.340 0.699 0.500  -0.01
F12 0.184 0.259 0.320  -0.01

[4]
Density functional theory data (GGA-PBE) for a geometry-optimized Sm2NpF11 structure.

Summary:
E_form (uncorrected): -84.84 kcal/mol of atoms
spin magnetization: 2.000 μB per formula unit
symmetry: Ibam
uncorrected energy: -188.9 eV for the cell shown

Cell: 8.303 8.723 8.723 Å, 74.35 61.58 61.58°
Site moments in Bohr magnetons follow the coordinates.
Element x y z (fractional)
F1 0.161 0.075 0.201  -0.02
F2 0.557 0.016 0.679  -0.01
F3 0.661 0.701 0.575  -0.02
F4 0.438 0.799 0.925  -0.02
F5 0.062 0.575 0.701  -0.02
F6 0.374 0.724 0.276  0.00
F7 0.500 0.500 0.500  0.00
F8 0.626 0.276 0.724  0.00
Sm1 0.637 0.682 0.318  0.00
F9 0.126 0.224 0.776  0.00
F10 0.748 0.679 0.016  -0.01
F11 0.839 0.925 0.799  -0.02
F12 0.339 0.299 0.425  -0.02
F13 0.943 0.821 0.484  -0.01
F14 0.252 0.321 0.984  -0.01
F15 0.248 0.516 0.179  -0.01
F16 0.000 0.000 0.000  0.00
Sm2 0.137 0.818 0.182  0.00
F17 0.938 0.425 0.299  -0.02
F18 0.443 0.984 0.321  -0.01
F19 0.874 0.776 0.224  0.00
F20 0.562 0.201 0.075  -0.02
Sm3 0.863 0.182 0.818  0.00
Np1 0.250 0.250 0.250  2.10
Sm4 0.363 0.318 0.682  0.00
F21 0.057 0.179 0.516  -0.01
Np2 0.750 0.750 0.750  2.10
F22 0.752 0.484 0.821  -0.01

[5]
Density functional theory data (GGA-PBE) for a geometry-optimized NpSn2F8 structure.

Summary:
E_form (uncorrected): -62.77 kcal/mol of atoms
spin magnetization: 3.000 μB per formula unit
symmetry: Immm
uncorrected energy: -65.9 eV for the cell shown
relative energy among the computed polymorphs: 77.0 meV/atom

Cell: 3.955 6.547 7.332 Å, 116.52 105.65 90.00°
Site moments in Bohr magnetons follow the coordinates.
Element x y z (fractional)
F1 0.000 0.320 0.000  -0.01
F2 0.628 0.863 0.256  -0.01
F3 0.000 0.680 0.000  -0.01
Sn1 0.849 0.349 0.699  0.00
Np1 0.500 0.000 0.000  3.08
F4 0.104 0.104 0.207  -0.02
Sn2 0.151 0.651 0.301  0.00
F5 0.896 0.896 0.793  -0.02
F6 0.372 0.137 0.744  -0.01
F7 0.628 0.392 0.256  -0.01
F8 0.372 0.608 0.744  -0.01

[6]
Density functional theory data (GGA-PBE) for a geometry-optimized NpSn2F4 structure.

Summary:
E_form (uncorrected): -53.09 kcal/mol of atoms
spin magnetization: 3.815 μB per formula unit
symmetry: I4/mmm
uncorrected energy: -44.5 eV for the cell shown

Cell: 4.519 4.519 9.464 Å, 76.19 76.19 90.00°
Site moments in Bohr magnetons follow the coordinates.
Element x y z (fractional)
Np1 0.000 0.000 0.000  3.76
Sn1 0.254 0.254 0.492  0.01
Sn2 0.746 0.746 0.508  0.01
F1 0.000 0.500 0.000  -0.02
F2 0.874 0.874 0.251  -0.01
F3 0.126 0.126 0.749  -0.01
F4 0.500 0.000 0.000  -0.02

no.,theoretical density (g/cm³)
1,7.12
2,8.78
3,6.72
4,5.08
5,6.42
6,5.02